{"formula": "Cu2BiHPt", "functional": "PBE", "state": "optimized geometry", "energy_ev_per_atom": -4.161, "lattice": [[-0.0506, -3.3144, -2.8378], [3.1665, 1.2754, -1.5461], [2.3332, -2.4187, 2.7833]], "species": ["H", "Cu", "Cu", "Bi", "Pt"], "frac_coords": [[0.0000, 0.0000, 0.0000], [0.0000, 0.0000, 0.5000], [0.5000, 0.0000, 0.0000], [0.5000, 0.5000, 0.5000], [0.0000, 0.5000, 0.0000]]}